# 1
This record from Alexandria describes a relaxed structure of ZrScMnCo. The functional is PBE.

The value obtained for the formation energy is -0.121 eV/atom. Its space group is F-43m (216). As for the total magnetization: 0.409 μB per formula unit.

a b c (Å): 6.312 6.312 6.312
angles (deg): 90.00 90.00 90.00
Sites, in units of the cell vectors:
Zr (0.000, 0.000, 0.000)
Zr (0.000, 0.500, 0.500)
Zr (0.500, 0.000, 0.500)
Zr (0.500, 0.500, 0.000)
Sc (0.000, 0.000, 0.500)
Sc (0.000, 0.500, 0.000)
Sc (0.500, 0.000, 0.000)
Sc (0.500, 0.500, 0.500)
Mn (0.250, 0.250, 0.250)
Mn (0.250, 0.750, 0.750)
Mn (0.750, 0.250, 0.750)
Mn (0.750, 0.750, 0.250)
Co (0.250, 0.250, 0.750)
Co (0.250, 0.750, 0.250)
Co (0.750, 0.250, 0.250)
Co (0.750, 0.750, 0.750)

=====

# 2
This record from Alexandria describes a relaxed structure of Ac4Ir3. The functional is PBE.

The value obtained for the formation energy is -0.597 eV/atom. Its space group is C2/m (12). As for the total magnetization: 0.000 μB per formula unit.

a b c (Å): 14.880 4.543 7.667
angles (deg): 90.00 120.54 90.00
Sites, in units of the cell vectors:
Ac (0.124, 0.000, 0.295)
Ac (0.135, 0.500, 0.798)
Ac (0.365, 0.000, 0.202)
Ac (0.376, 0.500, 0.705)
Ac (0.624, 0.500, 0.295)
Ac (0.635, 0.000, 0.798)
Ac (0.865, 0.500, 0.202)
Ac (0.876, 0.000, 0.705)
Ir (0.000, 0.500, 0.000)
Ir (0.239, 0.500, 0.238)
Ir (0.261, 0.000, 0.762)
Ir (0.500, 0.000, 0.000)
Ir (0.739, 0.000, 0.238)
Ir (0.761, 0.500, 0.762)

=====

# 3
This record from Alexandria describes a relaxed structure of CrFePbAu2. The functional is PBE.

The value obtained for the formation energy is 0.815 eV/atom. Its space group is P4/mmm (123). As for the total magnetization: 2.926 μB per formula unit.

a b c (Å): 5.044 5.044 4.141
angles (deg): 90.00 90.00 90.00
Sites, in units of the cell vectors:
Cr (0.000, 0.000, 0.000)
Fe (0.000, 0.000, 0.500)
Pb (0.500, 0.500, 0.500)
Au (0.000, 0.500, 0.000)
Au (0.500, 0.000, 0.000)

=====

# 4
This record from Alexandria describes a relaxed structure of Sc2TiB2Os5. The functional is PBE.

The value obtained for the formation energy is -0.478 eV/atom. Its space group is P4/mbm (127). As for the total magnetization: 0.000 μB per formula unit.

a b c (Å): 9.499 9.499 3.044
angles (deg): 90.00 90.00 90.00
Sites, in units of the cell vectors:
Sc (0.176, 0.324, 0.000)
Sc (0.324, 0.824, 0.000)
Sc (0.676, 0.176, 0.000)
Sc (0.824, 0.676, 0.000)
Ti (0.000, 0.000, 0.000)
Ti (0.500, 0.500, 0.000)
B (0.124, 0.624, 0.000)
B (0.376, 0.124, 0.000)
B (0.624, 0.876, 0.000)
B (0.876, 0.376, 0.000)
Os (0.000, 0.500, 0.500)
Os (0.070, 0.785, 0.500)
Os (0.215, 0.070, 0.500)
Os (0.285, 0.570, 0.500)
Os (0.430, 0.285, 0.500)
Os (0.500, 0.000, 0.500)
Os (0.570, 0.715, 0.500)
Os (0.715, 0.430, 0.500)
Os (0.785, 0.930, 0.500)
Os (0.930, 0.215, 0.500)

=====

# 5
This record from Alexandria describes a relaxed structure of HfWSeN2. The functional is PBE.

The energy relative to the elements, uncorrected comes out at 455 kJ/mol of formula units. The value obtained for the relative energy among the computed polymorphs is 0.728 eV per atom. Its space group is P4/mmm (123). As for the total magnetization: 2.550 μB per formula unit.

a b c (Å): 4.092 4.092 5.325
angles (deg): 90.00 90.00 90.00
Sites, in units of the cell vectors:
Hf (0.000, 0.000, 0.000)
W (0.500, 0.500, 0.500)
Se (0.000, 0.000, 0.500)
N (0.000, 0.500, 0.000)
N (0.500, 0.000, 0.000)

=====

# 6
This record from Alexandria describes a relaxed structure of Fe2NiPd. The functional is PBE.

The value obtained for the relative energy among the computed polymorphs is 0.000 eV per atom. The value obtained for the formation energy is -0.038 eV/atom. Its space group is P4/mmm (123). As for the total magnetization: 6.827 μB per formula unit.

a b c (Å): 3.693 3.693 3.729
angles (deg): 90.00 90.00 90.00
Sites, in units of the cell vectors:
Fe (0.000, 0.500, 0.000)
Fe (0.500, 0.000, 0.000)
Ni (0.000, 0.000, 0.500)
Pd (0.500, 0.500, 0.500)

=====

# 7
This record from Alexandria describes a relaxed structure of Dy2CuSiPt6. The functional is PBE.

The energy relative to the elements, uncorrected comes out at -799 kJ/mol of formula units. Its space group is R-3m (166). As for the total magnetization: 0.000 μB per formula unit.

a b c (Å): 8.017 8.017 8.017
angles (deg): 40.61 40.61 40.61
Sites, in units of the cell vectors:
Dy (0.202, 0.202, 0.202)
Dy (0.798, 0.798, 0.798)
Cu (0.500, 0.500, 0.500)
Si (0.000, 0.000, 0.000)
Pt (0.248, 0.248, 0.738)
Pt (0.248, 0.738, 0.248)
Pt (0.262, 0.752, 0.752)
Pt (0.738, 0.248, 0.248)
Pt (0.752, 0.262, 0.752)
Pt (0.752, 0.752, 0.262)

=====

# 8
This record from Alexandria describes a relaxed structure of LaNd2V. The functional is PBE.

The value obtained for the formation energy is 0.640 eV/atom. Its space group is R-3m (166). As for the total magnetization: 3.283 μB per formula unit.

a b c (Å): 3.473 3.473 35.592
angles (deg): 90.00 90.00 120.00
Sites, in units of the cell vectors:
La (0.000, 0.000, 0.000)
La (0.333, 0.667, 0.667)
La (0.667, 0.333, 0.333)
Nd (0.000, 0.000, 0.420)
Nd (0.000, 0.000, 0.580)
Nd (0.333, 0.667, 0.087)
Nd (0.333, 0.667, 0.246)
Nd (0.667, 0.333, 0.754)
Nd (0.667, 0.333, 0.913)
V (0.000, 0.000, 0.500)
V (0.333, 0.667, 0.167)
V (0.667, 0.333, 0.833)

=====

# 9
This record from Alexandria describes a relaxed structure of MgTi2S4. The functional is PBE.

The energy relative to the elements, uncorrected comes out at -904 kJ/mol of formula units. Its space group is Imma (74). As for the total magnetization: 0.492 μB per formula unit.

a b c (Å): 7.081 7.081 7.081
angles (deg): 119.67 119.38 90.83
Sites, in units of the cell vectors:
Mg (0.000, 0.000, 0.000)
Mg (0.500, 0.000, 0.500)
Ti (0.000, 0.500, 0.500)
Ti (0.500, 0.000, 0.000)
Ti (0.500, 0.500, 0.000)
Ti (0.500, 0.500, 0.500)
S (0.249, 0.255, 0.506)
S (0.249, 0.743, 0.994)
S (0.256, 0.747, 0.509)
S (0.262, 0.253, 0.009)
S (0.738, 0.747, 0.991)
S (0.744, 0.253, 0.491)
S (0.751, 0.257, 0.006)
S (0.751, 0.745, 0.494)

=====

# 10
This record from Alexandria describes a relaxed structure of HfMn2BeOs. The functional is PBE.

The value obtained for the formation energy is 0.152 eV/atom. Its space group is P4/mmm (123). As for the total magnetization: 4.137 μB per formula unit.

a b c (Å): 4.035 4.035 4.230
angles (deg): 90.00 90.00 90.00
Sites, in units of the cell vectors:
Hf (0.000, 0.000, 0.000)
Mn (0.000, 0.500, 0.500)
Mn (0.500, 0.000, 0.500)
Be (0.500, 0.500, 0.500)
Os (0.500, 0.500, 0.000)

=====

# 11
This record from Alexandria describes a relaxed structure of RbCd3I. The functional is PBE.

The energy relative to the elements, uncorrected comes out at 92 kJ/mol of formula units. The value obtained for the relative energy among the computed polymorphs is 0.039 eV per atom. Its space group is Pm-3m (221). As for the total magnetization: 0.000 μB per formula unit.

a b c (Å): 6.909 6.909 6.909
angles (deg): 90.00 90.00 90.00
Sites, in units of the cell vectors:
Rb (0.000, 0.000, 0.000)
Cd (0.000, 0.000, 0.500)
Cd (0.000, 0.500, 0.000)
Cd (0.500, 0.000, 0.000)
I (0.500, 0.500, 0.500)

=====

# 12
This record from Alexandria describes a relaxed structure of Ge2OsRh. The functional is PBE.

The value obtained for the relative energy among the computed polymorphs is 0.000 eV per atom. The value obtained for the formation energy is -0.032 eV/atom. Its space group is Fm-3m (225). As for the total magnetization: 0.000 μB per formula unit.

a b c (Å): 6.147 6.147 6.147
angles (deg): 90.00 90.00 90.00
Sites, in units of the cell vectors:
Ge (0.250, 0.250, 0.250)
Ge (0.250, 0.250, 0.750)
Ge (0.250, 0.750, 0.250)
Ge (0.250, 0.750, 0.750)
Ge (0.750, 0.250, 0.250)
Ge (0.750, 0.250, 0.750)
Ge (0.750, 0.750, 0.250)
Ge (0.750, 0.750, 0.750)
Os (0.000, 0.000, 0.000)
Os (0.000, 0.500, 0.500)
Os (0.500, 0.000, 0.500)
Os (0.500, 0.500, 0.000)
Rh (0.000, 0.000, 0.500)
Rh (0.000, 0.500, 0.000)
Rh (0.500, 0.000, 0.000)
Rh (0.500, 0.500, 0.500)

=====

> What is the formula in the fourth record?

Sc2TiB2Os5